VASP calculation (GGA-PBE) on a relaxed CsRbCdS2 crystal.

E_form (uncorrected) = -0.814 eV per atom
DOS at the Fermi energy = 0.00 states/eV/atom
Space group = Cmme, No. 67
Spin magnetization = 0.000 μB per atom

Cell: 7.277 7.168 8.621 Å, 114.57 90.00 90.00°
Sites, in units of the cell vectors:
Cs 0.172 0.750 0.500
Cs 0.828 0.250 0.500
Cd 0.000 0.500 0.000
S 0.788 0.887 0.773
Cd 0.000 0.000 0.000
Rb 0.500 0.750 0.000
S 0.212 0.113 0.227
S 0.788 0.613 0.227
S 0.212 0.387 0.773
Rb 0.500 0.250 0.000

=====

VASP calculation (GGA-PBE) on a relaxed CsRb2CdS crystal.

E_form (uncorrected) = -0.476 eV per atom
DOS at the Fermi energy = 0.72 states/eV/atom
Space group = P4/mmm, No. 123
Spin magnetization = 0.000 μB per atom

Cell: 6.435 6.435 6.814 Å, 90.00 90.00 90.00°
Sites, in units of the cell vectors:
Rb 0.500 0.000 0.000
Cs 0.000 0.000 0.500
Rb 0.000 0.500 0.000
S 0.000 0.000 0.000
Cd 0.500 0.500 0.500

=====

VASP calculation (GGA-PBE) on a relaxed Cs2Rb4CdSb2 crystal.

E_form (uncorrected) = -0.256 eV per atom
DOS at the Fermi energy = 0.31 states/eV/atom
Space group = C2/m, No. 12
Spin magnetization = 0.000 μB per atom

Cell: 6.499 9.706 9.706 Å, 56.20 70.82 70.82°
Sites, in units of the cell vectors:
Sb 0.683 0.824 0.824
Sb 0.317 0.176 0.176
Rb 0.144 0.089 0.640
Cs 0.344 0.644 0.644
Rb 0.144 0.640 0.089
Cs 0.656 0.356 0.356
Rb 0.856 0.911 0.360
Rb 0.856 0.360 0.911
Cd 0.500 0.000 0.000

=====

VASP calculation (GGA-PBE) on a relaxed CsRb2Cd2Sb2 crystal.

E_form (uncorrected) = -0.337 eV per atom
DOS at the Fermi energy = 0.30 states/eV/atom
Space group = R-3m, No. 166
Spin magnetization = 0.000 μB per atom

Cell: 4.932 4.932 16.214 Å, 81.25 81.25 60.00°
Sites, in units of the cell vectors:
Sb 0.730 0.730 0.811
Rb 0.121 0.121 0.638
Cd 0.396 0.396 0.811
Cd 0.604 0.604 0.189
Sb 0.270 0.270 0.189
Cs 0.000 0.000 0.000
Rb 0.879 0.879 0.362